Entry 1:
Ga3HgPb (PBEsol, optimized geometry); energy of formation from the pure elements = 0.667 eV/atom; mass density = 6.5 Mg/m³; magnetic moment = 0.0 μB/f.u.; space-group type = Pm-3m
1.0
5.414 0.000 0.000
0.000 5.414 0.000
0.000 0.000 5.414
Ga Hg Pb
3 1 1
direct
0.000 0.000 0.500 Ga
0.000 0.500 0.000 Ga
0.500 0.000 0.000 Ga
0.500 0.500 0.500 Hg
0.000 0.000 0.000 Pb

Entry 2:
Ga2Hg2Pb (PBEsol, optimized geometry); energy of formation from the pure elements = 0.051 eV/atom; mass density = 10.9 Mg/m³; magnetic moment = 0.0 μB/f.u.; excess energy over the best structure of this formula in the dataset = 0.000 eV/atom; space-group type = P4/mbm
1.0
8.320 0.000 0.000
0.000 8.320 0.000
0.000 0.000 3.280
Ga Hg Pb
4 4 2
direct
0.143 0.357 0.000 Ga
0.357 0.857 0.000 Ga
0.643 0.143 0.000 Ga
0.857 0.643 0.000 Ga
0.153 0.653 0.500 Hg
0.347 0.153 0.500 Hg
0.653 0.847 0.500 Hg
0.847 0.347 0.500 Hg
0.000 0.000 0.500 Pb
0.500 0.500 0.500 Pb

Which value of energy of formation from the pure elements does entry 1 give?
0.667 eV/atom